No. 1
Computed, not measured: an optimized crystal structure of TlIn2Re at the GGA-PBE level of DFT.

The space group is Cmmm. The calculation puts the excess energy over the best structure of this formula in the dataset at 0.304 eV/atom. The energy of formation from the pure elements comes out at 0.758 eV per atom.

CIF file:
```
data_TlIn2Re
_chemical_formula_sum 'Tl1 In2 Re1'
_symmetry_space_group_name_H-M 'P 1'
_symmetry_Int_Tables_number 1
_cell_length_a 5.4261
_cell_length_b 5.4261
_cell_length_c 2.9575
_cell_angle_alpha 90.00
_cell_angle_beta 90.00
_cell_angle_gamma 101.43
loop_
_symmetry_equiv_pos_as_xyz
'x,y,z'
loop_
_atom_site_label
_atom_site_fract_x
_atom_site_fract_y
_atom_site_fract_z
Tl1 0.0000 0.0000 0.0000
In1 0.0000 0.5000 0.5000
In2 0.5000 0.0000 0.5000
Re1 0.5000 0.5000 0.0000
```

---

No. 2
Computed, not measured: an optimized crystal structure of Sr2TcOs at the GGA-PBE level of DFT.

The space group is P4mm. The calculation puts the excess energy over the best structure of this formula in the dataset at 0.012 eV/atom. The energy of formation from the pure elements comes out at 0.508 eV per atom.

CIF file:
```
data_Sr2TcOs
_chemical_formula_sum 'Sr2 Tc1 Os1'
_symmetry_space_group_name_H-M 'P 1'
_symmetry_Int_Tables_number 1
_cell_length_a 3.5308
_cell_length_b 3.5308
_cell_length_c 9.1183
_cell_angle_alpha 90.00
_cell_angle_beta 90.00
_cell_angle_gamma 90.00
loop_
_symmetry_equiv_pos_as_xyz
'x,y,z'
loop_
_atom_site_label
_atom_site_fract_x
_atom_site_fract_y
_atom_site_fract_z
Sr1 0.0000 0.0000 0.0000
Sr2 0.5000 0.5000 0.3970
Tc1 0.0000 0.0000 0.6754
Os1 0.5000 0.5000 0.7273
```

---

No. 3
Computed, not measured: an optimized crystal structure of Pr3Zn3Pt2 at the GGA-PBE level of DFT.

The space group is Cmcm. The energy of formation from the pure elements comes out at -0.719 eV per atom.

CIF file:
```
data_Pr3Zn3Pt2
_chemical_formula_sum 'Pr6 Zn6 Pt4'
_symmetry_space_group_name_H-M 'P 1'
_symmetry_Int_Tables_number 1
_cell_length_a 5.7012
_cell_length_b 5.7012
_cell_length_c 15.4926
_cell_angle_alpha 90.00
_cell_angle_beta 90.00
_cell_angle_gamma 133.87
loop_
_symmetry_equiv_pos_as_xyz
'x,y,z'
loop_
_atom_site_label
_atom_site_fract_x
_atom_site_fract_y
_atom_site_fract_z
Pr1 0.0901 0.9099 0.6024
Pr2 0.0901 0.9099 0.8976
Pr3 0.3664 0.6336 0.7500
Pr4 0.6336 0.3664 0.2500
Pr5 0.9099 0.0901 0.1024
Pr6 0.9099 0.0901 0.3976
Zn1 0.3411 0.6589 0.2500
Zn2 0.3807 0.6193 0.5378
Zn3 0.3807 0.6193 0.9622
Zn4 0.6193 0.3807 0.0378
Zn5 0.6193 0.3807 0.4622
Zn6 0.6589 0.3411 0.7500
Pt1 0.2004 0.7996 0.1075
Pt2 0.2004 0.7996 0.3925
Pt3 0.7996 0.2004 0.6075
Pt4 0.7996 0.2004 0.8925
```

---

no.,DFT total energy (eV/atom)
1,-4.315
2,-5.732
3,-4.499